(1)
Ag2HgAs after structural relaxation. Source: Alexandria via LeMat-Bulk, functional GGA-PBE.

Values from the calculation:
Energy of formation from the pure elements   0.169 eV/atom
Crystal system   tetragonal
Calculated volume   19.517 Å³ per atom
DOS(E_F)   0.347 states/eV per atom

Cell: 5.376 5.376 5.376 Å, 134.41 134.41 66.45°
Positions (direct):
Ag 0.250 0.750 0.500
As 0.500 0.500 0.000
Hg 0.750 0.250 0.500
Ag 0.000 0.000 0.000



(2)
Ag2HgAs2 after structural relaxation. Source: Alexandria via LeMat-Bulk, functional GGA-PBE.

Values from the calculation:
Energy of formation from the pure elements   0.186 eV/atom
Energy relative to the lowest polymorph listed for this composition   0.00 kJ per mole of atoms
Crystal system   tetragonal
Calculated volume   20.916 Å³ per atom
DOS(E_F)   0.274 states/eV per atom

Cell: 8.620 8.620 2.815 Å, 90.00 90.00 90.00°
Positions (direct):
As 0.644 0.144 0.000
As 0.856 0.644 0.000
Hg 0.500 0.500 0.000
As 0.144 0.356 0.000
Ag 0.153 0.653 0.500
Ag 0.653 0.847 0.500
As 0.356 0.856 0.000
Hg 0.000 0.000 0.000
Ag 0.847 0.347 0.500
Ag 0.347 0.153 0.500



(3)
Ag2HgAs after structural relaxation. Source: Alexandria via LeMat-Bulk, functional GGA-PBE.

Values from the calculation:
Energy of formation from the pure elements   0.253 eV/atom
Crystal system   cubic
Calculated volume   20.007 Å³ per atom
DOS(E_F)   0.740 states/eV per atom

Cell: 4.837 4.837 4.837 Å, 60.00 60.00 60.00°
Positions (direct):
As 0.500 0.500 0.500
Ag 0.000 0.000 0.000
Ag 0.750 0.750 0.750
Hg 0.250 0.250 0.250



(4)
Ag2HgAs after structural relaxation. Source: Alexandria via LeMat-Bulk, functional GGA-PBE.

Values from the calculation:
Energy of formation from the pure elements   0.153 eV/atom
Crystal system   trigonal
Calculated volume   19.763 Å³ per atom
DOS(E_F)   0.514 states/eV per atom

Cell: 9.259 9.259 9.259 Å, 19.72 19.72 19.72°
Positions (direct):
Ag 0.504 0.504 0.504
As 0.250 0.250 0.250
Hg 0.750 0.750 0.750
Ag 0.996 0.996 0.996



(5)
AgHgAs2 after structural relaxation. Source: Alexandria via LeMat-Bulk, functional GGA-PBE.

Values from the calculation:
Energy of formation from the pure elements   0.301 eV/atom
Crystal system   tetragonal
Calculated volume   20.350 Å³ per atom
DOS(E_F)   0.280 states/eV per atom

Cell: 2.952 2.952 9.342 Å, 90.00 90.00 90.00°
Positions (direct):
As 0.000 0.000 0.983
Ag 0.500 0.500 0.760
As 0.500 0.500 0.246
Hg 0.000 0.000 0.511



(6)
AgHgAs2 after structural relaxation. Source: Alexandria via LeMat-Bulk, functional GGA-PBE.

Values from the calculation:
Energy of formation from the pure elements   0.380 eV/atom
Crystal system   cubic
Calculated volume   20.583 Å³ per atom
DOS(E_F)   0.426 states/eV per atom

Cell: 4.883 4.883 4.883 Å, 60.00 60.00 60.00°
Positions (direct):
Hg 0.750 0.750 0.750
As 0.250 0.250 0.250
Ag 0.500 0.500 0.500
As 0.000 0.000 0.000